Entry 1:
V2MoPt2 | PBE-GGA | relaxed

a = 6.811 Å, b = 6.811 Å, c = 3.295 Å
α = 90.00°, β = 90.00°, γ = 90.00°
Fractional positions:
V 0.153 0.347 0.000
V 0.347 0.847 0.000
V 0.653 0.153 0.000
V 0.847 0.653 0.000
Mo 0.000 0.000 0.000
Mo 0.500 0.500 0.000
Pt 0.149 0.649 0.500
Pt 0.351 0.149 0.500
Pt 0.649 0.851 0.500
Pt 0.851 0.351 0.500

## Properties
DFT formation energy = -121 meV per atom
distance to the lowest polymorph of the same formula = 217.5 meV per atom

---

Entry 2:
Ho2ErB6 | PBE-GGA | relaxed

a = 5.672 Å, b = 5.672 Å, c = 3.838 Å
α = 90.00°, β = 90.00°, γ = 120.00°
Fractional positions:
Ho 0.333 0.667 0.000
Ho 0.667 0.333 0.000
Er 0.000 0.000 0.000
B 0.000 0.333 0.500
B 0.000 0.667 0.500
B 0.333 0.000 0.500
B 0.333 0.333 0.500
B 0.667 0.000 0.500
B 0.667 0.667 0.500

## Properties
DFT formation energy = -607 meV per atom

---

Entry 3:
Ba2TaPb | PBE-GGA | relaxed

a = 5.298 Å, b = 5.298 Å, c = 5.028 Å
α = 90.00°, β = 90.00°, γ = 90.00°
Fractional positions:
Ba 0.000 0.500 0.000
Ba 0.500 0.000 0.000
Ta 0.000 0.000 0.500
Pb 0.500 0.500 0.500

## Properties
DFT formation energy = 661 meV per atom

---

Entry 4:
In2PbN2 | PBE-GGA | relaxed

a = 3.700 Å, b = 3.700 Å, c = 8.676 Å
α = 91.21°, β = 91.21°, γ = 59.73°
Fractional positions:
In 0.171 0.171 0.146
In 0.829 0.829 0.854
Pb 0.500 0.500 0.500
N 0.162 0.162 0.863
N 0.838 0.838 0.137

## Properties
raw formation energy = 0.3870 eV per atom

---

Entry 5:
PaCuGeO6 | PBE-GGA | relaxed

a = 5.325 Å, b = 5.325 Å, c = 8.657 Å
α = 90.00°, β = 90.00°, γ = 120.00°
Fractional positions:
Pa 0.333 0.667 0.250
Pa 0.667 0.333 0.750
Cu 0.000 0.000 0.000
Cu 0.000 0.000 0.500
Ge 0.333 0.667 0.750
Ge 0.667 0.333 0.250
O 0.035 0.356 0.627
O 0.035 0.679 0.873
O 0.321 0.356 0.873
O 0.321 0.965 0.627
O 0.356 0.035 0.127
O 0.356 0.321 0.373
O 0.644 0.679 0.627
O 0.644 0.965 0.873
O 0.679 0.035 0.373
O 0.679 0.644 0.127
O 0.965 0.321 0.127
O 0.965 0.644 0.373

## Properties
raw formation energy = -1.7562 eV per atom

---

Entry 6:
Sm2Ga6Pd | PBE-GGA | relaxed

a = 6.295 Å, b = 6.295 Å, c = 6.295 Å
α = 60.00°, β = 60.00°, γ = 60.00°
Fractional positions:
Sm 0.250 0.250 0.250
Sm 0.750 0.750 0.750
Ga 0.216 0.216 0.784
Ga 0.216 0.784 0.216
Ga 0.216 0.784 0.784
Ga 0.784 0.216 0.216
Ga 0.784 0.216 0.784
Ga 0.784 0.784 0.216
Pd 0.500 0.500 0.500

## Properties
DFT formation energy = -646 meV per atom

---

Entry 7:
VPb2C2 | PBE-GGA | relaxed

a = 6.115 Å, b = 6.115 Å, c = 6.115 Å
α = 138.35°, β = 138.35°, γ = 60.36°
Fractional positions:
V 0.000 0.000 0.000
Pb 0.250 0.750 0.500
Pb 0.750 0.250 0.500
C 0.439 0.439 0.000
C 0.561 0.561 0.000

## Properties
DFT formation energy = 1391 meV per atom
distance to the lowest polymorph of the same formula = 108.8 meV per atom

---

Entry 8:
CsH2Br | PBE-GGA | relaxed

a = 5.166 Å, b = 5.166 Å, c = 5.802 Å
α = 116.21°, β = 116.21°, γ = 59.88°
Fractional positions:
Cs 0.000 0.000 0.000
H 0.380 0.380 0.145
H 0.620 0.620 0.855
Br 0.500 0.500 0.500

## Properties
distance to the lowest polymorph of the same formula = 681.5 meV per atom

---

These records have density values of 12.8, 8.7, 7.8, 7.5, 7.2, 7.8, 8.1, 3.1 g cm⁻³, in the order they appear.